No. 1
The following is a DFT calculation (PBE) of a relaxed TaTi crystal.

Energy of formation ... 65.06 kcal/mol of atoms

Unit cell a=7.3352 b=7.3352 c=7.3352 alpha=90.00 beta=90.00 gamma=90.00
With the nearest neighbours (Å) after each atom.
Atoms (fractional coordinates):
Ta 0.0000 0.2500 0.5000  4 Ti 2.59
Ta 0.0000 0.7500 0.5000  4 Ti 2.59
Ta 0.2500 0.5000 0.0000  4 Ti 2.59
Ta 0.5000 0.0000 0.2500  4 Ti 2.59
Ta 0.5000 0.0000 0.7500  4 Ti 2.59
Ta 0.7500 0.5000 0.0000  4 Ti 2.59
Ti 0.0000 0.5000 0.2500  4 Ta 2.59
Ti 0.0000 0.5000 0.7500  4 Ta 2.59
Ti 0.2500 0.0000 0.5000  4 Ta 2.59
Ti 0.5000 0.2500 0.0000  4 Ta 2.59
Ti 0.5000 0.7500 0.0000  4 Ta 2.59
Ti 0.7500 0.0000 0.5000  4 Ta 2.59



No. 2
The following is a DFT calculation (PBE) of a relaxed ThNpIr2 crystal.

Energy of formation ... -10.03 kcal/mol of atoms
ΔE to the lowest computed polymorph ... 0.134 eV/atom

Unit cell a=3.4819 b=3.4819 c=7.0536 alpha=90.00 beta=90.00 gamma=90.00
With the nearest neighbours (Å) after each atom.
Atoms (fractional coordinates):
Th 0.0000 0.0000 0.0000  8 Ir 3.12, 4 Th 3.48
Np 0.0000 0.0000 0.5000  8 Ir 2.94
Ir 0.5000 0.5000 0.2728  4 Np 2.94, 4 Th 3.12, 1 Ir 3.20
Ir 0.5000 0.5000 0.7272  4 Np 2.94, 4 Th 3.12, 1 Ir 3.20



No. 3
The following is a DFT calculation (PBE) of a relaxed CsCaAgTe2 crystal.

ΔE_f (raw) ... -22.5 kcal/mol of atoms

Unit cell a=9.1974 b=9.1974 c=6.5061 alpha=90.00 beta=90.00 gamma=130.77
With the nearest neighbours (Å) after each atom.
Atoms (fractional coordinates):
Cs 0.2500 0.7500 0.7751  4 Te 3.93-3.95
Cs 0.7500 0.2500 0.2249  4 Te 3.93-3.95
Ca 0.2500 0.2500 0.5000  4 Te 3.10
Ca 0.7500 0.7500 0.5000  4 Te 3.10
Ag 0.0000 0.0000 0.0000  2 Te 2.66
Ag 0.5000 0.5000 0.0000  2 Te 2.66
Te 0.1168 0.8832 0.2772  1 Ag 2.66
Te 0.3832 0.6168 0.2772  1 Ag 2.66
Te 0.6168 0.3832 0.7228  1 Ag 2.66
Te 0.8832 0.1168 0.7228  1 Ag 2.66



| no. | total magnetic moment (μB per formula unit) | final energy (hartree per atom) |
| --- | --- | --- |
| 1 | 2.1 | -0.259 |
| 2 | 3.6 | -0.366 |
| 3 | 0.0 | -0.124 |